1.
The following is a DFT calculation (PBE-GGA) of crystalline LaZnAgGe at its relaxed geometry. Values from VASP.

For the formation energy, the calculation gives -337 meV per atom. The total energy comes out at -3.754 eV per atom. The space group is No. 216. For the mass density, the calculation gives 7.38 Mg/m³. The calculation puts the density of states at the Fermi level at 0.88 states/eV/cell.

Quantum ESPRESSO input file:
```
&SYSTEM
  ibrav = 0, nat = 4, ntyp = 4
/
ATOMIC_SPECIES
La 138.91 La.upf
Zn 65.41 Zn.upf
Ag 107.87 Ag.upf
Ge 72.64 Ge.upf
ATOMIC_POSITIONS crystal
La 0.0000 0.0000 0.0000
Zn 0.7500 0.7500 0.7500
Ag 0.5000 0.5000 0.5000
Ge 0.2500 0.2500 0.2500
CELL_PARAMETERS angstrom
0.0000 3.5119 3.5119
3.5119 0.0000 3.5119
3.5119 3.5119 0.0000
```



2.
The following is a DFT calculation (PBE-GGA) of crystalline LaZnAgGe2 at its relaxed geometry. Values from VASP.

For the formation energy, the calculation gives -463 meV per atom. The total energy comes out at -4.120 eV per atom. The space group is No. 119. For the mass density, the calculation gives 7.29 Mg/m³. The calculation puts the density of states at the Fermi level at 2.33 states/eV/cell.

Quantum ESPRESSO input file:
```
&SYSTEM
  ibrav = 0, nat = 5, ntyp = 4
/
ATOMIC_SPECIES
La 138.91 La.upf
Zn 65.41 Zn.upf
Ag 107.87 Ag.upf
Ge 72.64 Ge.upf
ATOMIC_POSITIONS crystal
La 0.0000 0.0000 0.0000
Zn 0.2500 0.7500 0.5000
Ag 0.7500 0.2500 0.5000
Ge 0.3866 0.3866 0.0000
Ge 0.6134 0.6134 0.0000
CELL_PARAMETERS angstrom
-2.1629 2.1629 5.5669
2.1629 -2.1629 5.5669
2.1629 2.1629 -5.5669
```